A geometry-optimized LaRu2Rh structure. Source: Alexandria via LeMat-Bulk, functional PBE.

Unit cell a=4.924 b=4.924 c=5.211 alpha=100.81 beta=100.81 gamma=35.65
Atoms (fractional coordinates):
La 0.000 0.000 0.000
Ru 0.238 0.238 0.671
Ru 0.506 0.506 0.518
Rh 0.765 0.765 0.276


A geometry-optimized La4RuRh structure. Source: Alexandria via LeMat-Bulk, functional PBE.

Unit cell a=6.075 b=6.075 c=6.075 alpha=60.00 beta=60.00 gamma=60.00
Atoms (fractional coordinates):
La 0.125 0.125 0.125
La 0.125 0.125 0.624
La 0.125 0.624 0.125
La 0.624 0.125 0.125
Ru 0.500 0.500 0.500
Rh 0.750 0.750 0.750

E above lowest polymorph = 1.213 eV per atom


A geometry-optimized LaRu2Rh structure. Source: Alexandria via LeMat-Bulk, functional PBE.

Unit cell a=2.961 b=4.721 c=5.234 alpha=90.00 beta=100.11 gamma=90.00
Atoms (fractional coordinates):
La 0.000 0.000 0.000
Ru 0.314 0.500 0.708
Ru 0.686 0.500 0.292
Rh 0.500 0.000 0.500


A geometry-optimized La8Ru3Rh2 structure. Source: Alexandria via LeMat-Bulk, functional PBE.

Unit cell a=7.746 b=7.746 c=7.135 alpha=90.32 beta=90.32 gamma=66.13
Atoms (fractional coordinates):
La 0.113 0.113 0.333
La 0.125 0.624 0.166
La 0.376 0.875 0.834
La 0.380 0.380 0.661
La 0.620 0.620 0.339
La 0.624 0.125 0.166
La 0.875 0.376 0.834
La 0.887 0.887 0.667
Ru 0.000 0.000 0.000
Ru 0.267 0.733 0.500
Ru 0.733 0.267 0.500
Rh 0.245 0.245 0.996
Rh 0.755 0.755 0.004


A geometry-optimized La4RuRh2 structure. Source: Alexandria via LeMat-Bulk, functional PBE.

Unit cell a=6.246 b=6.246 c=8.905 alpha=124.57 beta=124.57 gamma=40.99
Atoms (fractional coordinates):
La 0.081 0.081 0.377
La 0.313 0.313 0.912
La 0.687 0.687 0.088
La 0.919 0.919 0.623
Ru 0.000 0.000 0.000
Rh 0.340 0.340 0.353
Rh 0.660 0.660 0.647

E above lowest polymorph = 0.000 eV per atom


A geometry-optimized La2RuRh structure. Source: Alexandria via LeMat-Bulk, functional PBE.

Unit cell a=4.095 b=4.095 c=7.071 alpha=106.71 beta=106.71 gamma=59.76
Atoms (fractional coordinates):
La 0.248 0.248 0.244
La 0.752 0.752 0.756
Ru 0.500 0.500 0.000
Rh 0.000 0.000 0.500


Number 1: M_tot 0.0 Bohr magnetons per cell, raw total energy -7.573 eV per atom, E_form 0.134 eV per atom. Number 2: M_tot 0.0 Bohr magnetons per cell, raw total energy -5.270 eV per atom, E_form 0.786 eV per atom. Number 3: M_tot 0.0 Bohr magnetons per cell, raw total energy -7.457 eV per atom, E_form 0.251 eV per atom. Number 4: M_tot 0.0 Bohr magnetons per cell, raw total energy -6.713 eV per atom, E_form -0.409 eV per atom. Number 5: M_tot 0.0 Bohr magnetons per cell, raw total energy -6.789 eV per atom, E_form -0.548 eV per atom. Number 6: M_tot 0.0 Bohr magnetons per cell, raw total energy -6.807 eV per atom, E_form -0.186 eV per atom.